Entry from Alexandria via LeMat-Bulk: a relaxed Cd2PbO crystal (PBE).

```
Cd2PbO
1.0
-2.604 -1.492 1.611
-2.123 -2.036 -1.717
3.509 -8.042 1.823
Pb O Cd
1 1 2
Cartesian
0.000 0.000 0.000
-0.608 -5.785 0.858
1.777 -5.703 1.190
-2.994 -5.867 0.527
```

Density of states at the Fermi level in states/eV/f.u.: 0.516
Space-group type: R-3m
Uncorrected formation energy in eV per atom: -0.396
Size of the total moment in μB/atom: 0.000
Energy in eV/atom: -3.020